Entry 1:
Compound: KPuInO6
Source: Alexandria
Functional: PBE
Structure: optimized geometry

Lattice parameters (Å, degrees): 5.6136 5.6136 5.9161 90.00 90.00 60.00
Sites, in units of the cell vectors:
O1 0.0276 0.6079 0.6915
O2 0.3645 0.6078 0.3085
O3 0.0277 0.3645 0.3085
O4 0.6079 0.0277 0.3085
Pu1 0.3333 0.3333 0.5000
O5 0.6078 0.3645 0.6915
K1 0.0000 0.0000 0.0000
In1 0.6666 0.6667 0.5000
O6 0.3644 0.0277 0.6915

Calculated values
ΔE_f (raw) = -1.774 eV/atom



Entry 2:
Compound: K4Pu3InO12
Source: Alexandria
Functional: PBE
Structure: optimized geometry

Lattice parameters (Å, degrees): 7.3621 7.3621 7.3621 109.47 109.47 109.47
Site moments in Bohr magnetons follow the coordinates.
Sites, in units of the cell vectors:
K1 0.5000 0.5000 0.5000  0.00
Pu1 0.5000 0.0000 0.5000  2.77
O1 0.2619 0.2619 0.0000  -0.11
O2 0.0000 0.2619 0.2619  -0.11
K2 0.0000 0.0000 0.5000  0.00
O3 0.7500 0.2500 0.5000  -0.11
O4 0.2500 0.5000 0.7500  -0.11
O5 0.5000 0.2500 0.7500  -0.11
O6 0.5000 0.7500 0.2500  -0.11
O7 0.7381 0.0000 0.7381  -0.11
O8 0.2500 0.7500 0.5000  -0.11
Pu2 0.5000 0.5000 0.0000  2.77
In1 0.0000 0.0000 0.0000  -0.01
O9 0.2619 0.0000 0.2619  -0.11
O10 0.7500 0.5000 0.2500  -0.11
O11 0.7381 0.7381 0.0000  -0.11
K3 0.0000 0.5000 0.0000  0.00
O12 0.0000 0.7381 0.7381  -0.11
Pu3 0.0000 0.5000 0.5000  2.77
K4 0.5000 0.0000 0.0000  0.00

Calculated values
ΔE_f (raw) = -2.315 eV/atom



The evaluated size of the total moment for the records listed, in turn: 0.000; 7.000 Bohr magnetons per cell.